# 1
## KBiIr3 (GGA-PBE)

Data for crystalline KBiIr3 at its relaxed geometry.

a b c (Å): 5.111 5.111 5.111
angles (deg): 90.00 90.00 90.00
Positions (direct):
K 0.000 0.000 0.000
Bi 0.500 0.500 0.500
Ir 0.000 0.500 0.500
Ir 0.500 0.000 0.500
Ir 0.500 0.500 0.000

polymorph energy (0 for the lowest one): 0.000 eV per formula unit
formation energy from the elements: 1.65 eV/atom

---

# 2
## GdNpTc (GGA-PBE)

Data for crystalline GdNpTc at its relaxed geometry.

a b c (Å): 6.044 6.044 6.044
angles (deg): 146.96 146.96 47.42
Positions (direct):
Gd 0.000 0.000 0.000
Np 0.698 0.698 0.000
Tc 0.305 0.305 0.000

formation energy from the elements: 0.19 eV/atom

---

# 3
## Nd3Ho12Tl (GGA-PBE)

Data for crystalline Nd3Ho12Tl at its relaxed geometry.

a b c (Å): 4.969 4.969 20.173
angles (deg): 90.00 90.00 90.00
Positions (direct):
Nd 0.000 0.000 0.000
Nd 0.000 0.000 0.251
Nd 0.000 0.000 0.749
Ho 0.000 0.500 0.127
Ho 0.000 0.500 0.380
Ho 0.000 0.500 0.620
Ho 0.000 0.500 0.873
Ho 0.500 0.000 0.127
Ho 0.500 0.000 0.380
Ho 0.500 0.000 0.620
Ho 0.500 0.000 0.873
Ho 0.500 0.500 0.000
Ho 0.500 0.500 0.257
Ho 0.500 0.500 0.500
Ho 0.500 0.500 0.743
Tl 0.000 0.000 0.500

formation energy from the elements: -0.02 eV/atom

---

# 4
## ZnAgSe3 (GGA-PBE)

Data for crystalline ZnAgSe3 at its relaxed geometry.

a b c (Å): 5.081 5.081 5.081
angles (deg): 90.00 90.00 90.00
Positions (direct):
Zn 0.000 0.000 0.000
Ag 0.500 0.500 0.500
Se 0.000 0.500 0.500
Se 0.500 0.000 0.500
Se 0.500 0.500 0.000

polymorph energy (0 for the lowest one): 1.092 eV per formula unit
raw formation energy: 0.681 eV per atom

---

# 5
## Mg8GaPd2 (GGA-PBE)

Data for crystalline Mg8GaPd2 at its relaxed geometry.

a b c (Å): 4.597 6.628 8.004
angles (deg): 112.24 106.13 90.04
Positions (direct):
Mg 0.000 0.000 0.000
Mg 0.040 0.554 0.084
Mg 0.201 0.050 0.404
Mg 0.355 0.850 0.710
Mg 0.409 0.362 0.821
Mg 0.616 0.234 0.234
Mg 0.679 0.714 0.365
Mg 0.825 0.521 0.653
Ga 0.840 0.110 0.680
Pd 0.199 0.463 0.403
Pd 0.520 0.789 0.043

formation energy from the elements: -0.33 eV/atom

---

# 6
## MnTc2 (GGA-PBE)

Data for crystalline MnTc2 at its relaxed geometry.

a b c (Å): 2.679 2.679 6.523
angles (deg): 90.00 90.00 120.00
Positions (direct):
Mn 0.000 0.000 0.000
Tc 0.333 0.667 0.319
Tc 0.667 0.333 0.681

polymorph energy (0 for the lowest one): 0.452 eV per formula unit
formation energy from the elements: 0.15 eV/atom

---

# 7
## La2TiRe2 (GGA-PBE)

Data for crystalline La2TiRe2 at its relaxed geometry.

a b c (Å): 6.861 6.861 4.944
angles (deg): 90.00 90.00 90.00
Positions (direct):
La 0.180 0.320 0.000
La 0.320 0.820 0.000
La 0.680 0.180 0.000
La 0.820 0.680 0.000
Ti 0.000 0.000 0.500
Ti 0.500 0.500 0.500
Re 0.125 0.625 0.500
Re 0.375 0.125 0.500
Re 0.625 0.875 0.500
Re 0.875 0.375 0.500

polymorph energy (0 for the lowest one): 0.000 eV per formula unit
formation energy from the elements: 0.30 eV/atom

---

# 8
## Pa2ZnCoGe (GGA-PBE)

Data for crystalline Pa2ZnCoGe at its relaxed geometry.

a b c (Å): 5.664 3.953 8.477
angles (deg): 90.00 91.16 90.00
Positions (direct):
Pa 0.178 0.250 0.035
Pa 0.250 0.250 0.459
Pa 0.750 0.750 0.541
Pa 0.822 0.750 0.965
Zn 0.250 0.750 0.748
Zn 0.750 0.250 0.252
Co 0.036 0.750 0.284
Co 0.964 0.250 0.716
Ge 0.458 0.750 0.227
Ge 0.542 0.250 0.773

formation energy from the elements: -0.29 eV/atom

---

Calculated values (eV per atom) of VASP energy for the records, taken in order: -4.660 -12.275 -4.494 -2.235 -2.713 -9.816 -8.233 -6.687.